Here is a relaxed structure of TmIn4Pd7 from Alexandria. Energies are from PBE.

Unit cell a=4.975 b=8.763 c=6.107 alpha=81.38 beta=65.96 gamma=73.51
Fractional coordinates of all 12 atoms:
Tm (0.000, 0.000, 0.000)
In (0.589, 0.225, 0.597)
In (0.411, 0.775, 0.403)
In (0.741, 0.666, 0.852)
In (0.259, 0.334, 0.148)
Pd (0.783, 0.908, 0.526)
Pd (0.217, 0.092, 0.474)
Pd (0.068, 0.670, 0.195)
Pd (0.932, 0.330, 0.805)
Pd (0.360, 0.533, 0.747)
Pd (0.500, 0.000, 0.000)
Pd (0.640, 0.467, 0.253)

Results
Electronic total energy, eV per atom: -4.774
Formation energy from the elements, eV/atom: -0.4594
Fermi-level density of states, states/eV/cell: 4.97



Here is a relaxed structure of TmInPd from Alexandria. Energies are from PBE.

Unit cell a=3.402 b=3.402 c=6.055 alpha=106.31 beta=106.31 gamma=90.00
Fractional coordinates of all 3 atoms:
Tm (0.935, 0.935, 0.871)
Pd (0.279, 0.279, 0.559)
In (0.635, 0.635, 0.270)

Results
Electronic total energy, eV per atom: -4.777
Formation energy from the elements, eV/atom: -0.6428
Fermi-level density of states, states/eV/cell: 1.91



Here is a relaxed structure of TmIn2Pd5 from Alexandria. Energies are from PBE.

Unit cell a=4.262 b=4.262 c=8.308 alpha=104.86 beta=104.86 gamma=90.00
Fractional coordinates of all 8 atoms:
Tm (0.000, 0.000, 0.000)
In (0.745, 0.745, 0.490)
In (0.255, 0.255, 0.510)
Pd (0.500, 0.500, 0.000)
Pd (0.871, 0.371, 0.742)
Pd (0.371, 0.871, 0.742)
Pd (0.129, 0.629, 0.258)
Pd (0.629, 0.129, 0.258)

Results
Electronic total energy, eV per atom: -5.179
Formation energy from the elements, eV/atom: -0.6900
Fermi-level density of states, states/eV/cell: 4.62



Here is a relaxed structure of Tm2InPd from Alexandria. Energies are from PBE.

Unit cell a=3.476 b=3.476 c=7.696 alpha=90.00 beta=90.00 gamma=90.00
Fractional coordinates of all 4 atoms:
Tm (0.000, 0.000, 0.778)
Tm (0.000, 0.000, 0.222)
Pd (0.500, 0.500, 0.000)
In (0.500, 0.500, 0.500)

Results
E above lowest polymorph, meV/atom: 0
Electronic total energy, eV per atom: -4.921
Formation energy from the elements, eV/atom: -0.7023
Fermi-level density of states, states/eV/cell: 2.24



Here is a relaxed structure of TmIn2Pd from Alexandria. Energies are from PBE.

Unit cell a=10.752 b=10.752 c=10.752 alpha=100.52 beta=100.52 gamma=129.40
Fractional coordinates of all 40 atoms:
Tm (0.474, 0.474, 0.000)
Tm (0.683, 0.404, 0.279)
Tm (0.124, 0.404, 0.721)
Tm (0.404, 0.683, 0.279)
Tm (0.404, 0.124, 0.721)
Tm (0.687, 0.687, 0.597)
Tm (0.091, 0.091, 0.403)
Tm (0.091, 0.687, 0.000)
Tm (0.687, 0.091, 0.000)
Tm (0.000, 0.000, 0.000)
In (0.282, 0.489, 0.491)
In (0.998, 0.791, 0.509)
In (0.791, 0.282, 0.793)
In (0.282, 0.791, 0.793)
In (0.489, 0.998, 0.207)
In (0.998, 0.489, 0.207)
In (0.791, 0.998, 0.509)
In (0.489, 0.282, 0.491)
In (0.893, 0.730, 0.163)
In (0.568, 0.730, 0.837)
In (0.730, 0.893, 0.163)
In (0.730, 0.568, 0.837)
In (0.367, 0.367, 0.258)
In (0.109, 0.109, 0.742)
In (0.109, 0.367, 0.000)
In (0.367, 0.109, 0.000)
In (0.260, 0.877, 0.383)
In (0.494, 0.877, 0.617)
In (0.877, 0.260, 0.383)
In (0.877, 0.494, 0.617)
Pd (0.127, 0.627, 0.500)
Pd (0.627, 0.127, 0.500)
Pd (0.248, 0.036, 0.212)
Pd (0.824, 0.036, 0.788)
Pd (0.036, 0.248, 0.212)
Pd (0.036, 0.824, 0.788)
Pd (0.382, 0.382, 0.678)
Pd (0.705, 0.705, 0.322)
Pd (0.705, 0.382, 0.000)
Pd (0.382, 0.705, 0.000)

Results
Electronic total energy, eV per atom: -4.426
Formation energy from the elements, eV/atom: -0.6402
Fermi-level density of states, states/eV/cell: 18.43



Here is a relaxed structure of Tm5In2Pd2 from Alexandria. Energies are from PBE.

Unit cell a=7.119 b=8.470 c=8.758 alpha=118.92 beta=90.00 gamma=90.00
Fractional coordinates of all 18 atoms:
Tm (0.000, 0.000, 0.000)
Tm (0.500, 0.500, 0.000)
Tm (0.843, 0.805, 0.245)
Tm (0.157, 0.440, 0.245)
Tm (0.343, 0.940, 0.245)
Tm (0.657, 0.305, 0.245)
Tm (0.157, 0.195, 0.755)
Tm (0.843, 0.560, 0.755)
Tm (0.657, 0.060, 0.755)
Tm (0.343, 0.695, 0.755)
In (0.000, 0.212, 0.425)
In (0.500, 0.712, 0.425)
In (0.000, 0.788, 0.575)
In (0.500, 0.288, 0.575)
Pd (0.635, 0.876, 0.000)
Pd (0.365, 0.124, 0.000)
Pd (0.135, 0.624, 0.000)
Pd (0.865, 0.376, 0.000)

Results
Electronic total energy, eV per atom: -4.820
Formation energy from the elements, eV/atom: -0.5730
Fermi-level density of states, states/eV/cell: 16.35